Entry 1:
{"formula": "ZrReRh2", "functional": "PBE", "state": "relaxed", "lattice_angstrom": [[4.7705, 0.0000, 0.0000], [0.0000, 4.7705, 0.0000], [0.0000, 0.0000, 2.8341]], "species": ["Zr", "Re", "Rh", "Rh"], "fractional_positions": [[0.0000, 0.0000, 0.0000], [0.5000, 0.5000, 0.0000], [0.0000, 0.5000, 0.5000], [0.5000, 0.0000, 0.5000]], "formation_enthalpy_0k_ev_per_fu": -0.6, "de_polymorph_kj_per_mol_fu": 74, "m_tot_mub_per_atom": 0.093}



Entry 2:
{"formula": "Sc4GeCl5", "functional": "PBE", "state": "relaxed", "lattice_angstrom": [[8.3121, -1.8642, 0.0000], [8.3121, 1.8642, 0.0000], [-1.6650, 0.0000, 7.5161]], "species": ["Sc", "Sc", "Sc", "Sc", "Ge", "Cl", "Cl", "Cl", "Cl", "Cl"], "fractional_positions": [[0.0026, 0.0026, 0.2343], [0.3440, 0.3440, 0.9151], [0.6560, 0.6560, 0.0849], [0.9974, 0.9974, 0.7657], [0.5000, 0.5000, 0.0000], [0.1660, 0.1660, 0.3239], [0.1736, 0.1736, 0.8488], [0.5000, 0.5000, 0.5000], [0.8264, 0.8264, 0.1512], [0.8340, 0.8340, 0.6761]], "m_tot_mub_per_atom": 0.000, "formation_energy_uncorrected_ev_per_fu": -15.97}



Entry 3:
{"formula": "K4Rb9Na", "functional": "PBE", "state": "relaxed", "lattice_angstrom": [[13.7755, 0.0000, 0.0000], [-6.8878, 11.9299, 0.0000], [0.0000, 0.0000, 14.1437]], "species": ["K", "K", "K", "K", "K", "K", "K", "K", "Rb", "Rb", "Rb", "Rb", "Rb", "Rb", "Rb", "Rb", "Rb", "Rb", "Rb", "Rb", "Rb", "Rb", "Rb", "Rb", "Rb", "Rb", "Na", "Na"], "fractional_positions": [[0.0000, 0.0000, 0.0000], [0.0000, 0.0000, 0.5000], [0.1117, 0.2233, 0.2500], [0.1117, 0.8883, 0.2500], [0.2233, 0.1117, 0.7500], [0.7767, 0.8883, 0.2500], [0.8883, 0.1117, 0.7500], [0.8883, 0.7767, 0.7500], [0.0754, 0.5377, 0.2500], [0.2052, 0.4103, 0.5526], [0.2052, 0.4103, 0.9474], [0.2052, 0.7948, 0.5526], [0.2052, 0.7948, 0.9474], [0.4103, 0.2052, 0.0526], [0.4103, 0.2052, 0.4474], [0.4623, 0.5377, 0.2500], [0.4623, 0.9246, 0.2500], [0.5377, 0.0754, 0.7500], [0.5377, 0.4623, 0.7500], [0.5897, 0.7948, 0.5526], [0.5897, 0.7948, 0.9474], [0.7948, 0.2052, 0.0526], [0.7948, 0.2052, 0.4474], [0.7948, 0.5897, 0.0526], [0.7948, 0.5897, 0.4474], [0.9246, 0.4623, 0.7500], [0.3333, 0.6667, 0.7500], [0.6667, 0.3333, 0.2500]], "formation_enthalpy_0k_ev_per_fu": 0.2, "m_tot_mub_per_atom": 0.000}



Entry 4:
{"formula": "Ta2BeOsBr", "functional": "PBE", "state": "relaxed", "lattice_angstrom": [[4.6687, 0.0000, 0.0000], [0.0000, 4.6687, 0.0000], [0.0000, 0.0000, 3.9462]], "species": ["Ta", "Ta", "Be", "Os", "Br"], "fractional_positions": [[0.0000, 0.5000, 0.0000], [0.5000, 0.0000, 0.0000], [0.0000, 0.0000, 0.0000], [0.0000, 0.0000, 0.5000], [0.5000, 0.5000, 0.5000]], "m_tot_mub_per_atom": 0.000, "formation_energy_uncorrected_ev_per_fu": 5.35}



Entry 5:
{"formula": "SmHo2Al9", "functional": "PBE", "state": "relaxed", "lattice_angstrom": [[2.7901, 1.6109, 8.7562], [-2.7901, 1.6109, 8.7562], [0.0000, -3.2217, 8.7562]], "species": ["Sm", "Ho", "Ho", "Al", "Al", "Al", "Al", "Al", "Al", "Al", "Al", "Al"], "fractional_positions": [[0.0000, 0.0000, 0.0000], [0.1421, 0.1421, 0.1421], [0.8579, 0.8579, 0.8579], [0.0763, 0.5876, 0.5876], [0.3355, 0.3355, 0.3355], [0.4124, 0.4124, 0.9237], [0.4124, 0.9237, 0.4124], [0.5000, 0.5000, 0.5000], [0.5876, 0.0763, 0.5876], [0.5876, 0.5876, 0.0763], [0.6645, 0.6645, 0.6645], [0.9237, 0.4124, 0.4124]], "formation_enthalpy_0k_ev_per_fu": -4.6, "de_polymorph_kj_per_mol_fu": 37, "m_tot_mub_per_atom": 0.000}



Entry 6:
{"formula": "BeGaHO2", "functional": "PBE", "state": "relaxed", "lattice_angstrom": [[3.5754, 0.0000, 0.0000], [0.0000, 3.5754, 0.0000], [0.0000, 0.0000, 2.9129]], "species": ["Be", "Ga", "H", "O", "O"], "fractional_positions": [[0.0000, 0.0000, 0.0000], [0.5000, 0.5000, 0.5000], [0.0000, 0.0000, 0.5000], [0.0000, 0.5000, 0.0000], [0.5000, 0.0000, 0.0000]], "dft_energy_ev_per_atom": -4.799, "m_tot_mub_per_atom": 0.000}



Entry 7:
{"formula": "ZrTaRu2", "functional": "PBE", "state": "relaxed", "lattice_angstrom": [[3.2282, 0.0000, 0.0000], [0.0000, 4.4135, 0.0000], [0.0000, 0.0000, 9.5275]], "species": ["Zr", "Zr", "Ta", "Ta", "Ru", "Ru", "Ru", "Ru"], "fractional_positions": [[0.0000, 0.0000, 0.0000], [0.5000, 0.5000, 0.5000], [0.0000, 0.5000, 0.2413], [0.5000, 0.0000, 0.7413], [0.0000, 0.0000, 0.5123], [0.0000, 0.5000, 0.7424], [0.5000, 0.0000, 0.2424], [0.5000, 0.5000, 0.0123]], "formation_enthalpy_0k_ev_per_fu": -1.2, "m_tot_mub_per_atom": 0.000}



Entry 8:
{"formula": "SmDy2Ho2Tm", "functional": "PBE", "state": "relaxed", "lattice_angstrom": [[6.9074, 0.0000, 0.0000], [0.0000, 16.0764, 0.0000], [0.0000, 0.0000, 3.4841]], "species": ["Sm", "Sm", "Dy", "Dy", "Dy", "Dy", "Ho", "Ho", "Ho", "Ho", "Tm", "Tm"], "fractional_positions": [[0.0000, 0.0000, 0.0000], [0.5000, 0.5000, 0.5000], [0.2490, 0.3431, 0.0000], [0.2510, 0.8431, 0.5000], [0.7490, 0.1569, 0.5000], [0.7510, 0.6569, 0.0000], [0.2500, 0.1558, 0.5000], [0.2500, 0.6558, 0.0000], [0.7500, 0.3442, 0.0000], [0.7500, 0.8442, 0.5000], [0.0000, 0.5000, 0.5000], [0.5000, 0.0000, 0.0000]], "formation_enthalpy_0k_ev_per_fu": 1.0, "m_tot_mub_per_atom": 0.005}



Please write out number 7 again, unchanged.
{"formula": "ZrTaRu2", "functional": "PBE", "state": "relaxed", "lattice_angstrom": [[3.2282, 0.0000, 0.0000], [0.0000, 4.4135, 0.0000], [0.0000, 0.0000, 9.5275]], "species": ["Zr", "Zr", "Ta", "Ta", "Ru", "Ru", "Ru", "Ru"], "fractional_positions": [[0.0000, 0.0000, 0.0000], [0.5000, 0.5000, 0.5000], [0.0000, 0.5000, 0.2413], [0.5000, 0.0000, 0.7413], [0.0000, 0.0000, 0.5123], [0.0000, 0.5000, 0.7424], [0.5000, 0.0000, 0.2424], [0.5000, 0.5000, 0.0123]], "formation_enthalpy_0k_ev_per_fu": -1.2, "m_tot_mub_per_atom": 0.000}